No. 1
# AgSb2Rh | Alexandria via LeMat-Bulk | GGA-PBE | relaxed
data_AgSb2Rh
_cell_length_a 6.859
_cell_length_b 6.859
_cell_length_c 6.859
_cell_angle_alpha 90.00
_cell_angle_beta 90.00
_cell_angle_gamma 90.00
_space_group_name_H-M_alt 'F m -3 m'
_space_group_IT_number 225
_space_group_name_Hall '-F 4 2 3'
loop_
_atom_site_label
_atom_site_type_symbol
_atom_site_fract_x
_atom_site_fract_y
_atom_site_fract_z
_atom_site_occupancy
Ag1 Ag 0.000 0.000 0.000 1
Sb1 Sb 0.250 0.250 0.250 1
Rh1 Rh 0.000 0.000 0.500 1
# - Energy above the lowest structure with this stoichiometry: 0.108 eV per atom
# - Crystal system: cubic

---

No. 2
# Ag2SbRh | Alexandria via LeMat-Bulk | GGA-PBE | relaxed
data_Ag2SbRh
_cell_length_a 5.494
_cell_length_b 10.336
_cell_length_c 3.147
_cell_angle_alpha 90.00
_cell_angle_beta 123.83
_cell_angle_gamma 90.00
_space_group_name_H-M_alt 'C 1 2/m 1'
_space_group_IT_number 12
loop_
_space_group_symop_operation_xyz
'x,y,z'
'-x,-y,-z'
'-x,y,-z'
'x,-y,z'
'x+1/2,y+1/2,z'
'-x+1/2,-y+1/2,-z'
'-x+1/2,y+1/2,-z'
'x+1/2,-y+1/2,z'
loop_
_atom_site_label
_atom_site_type_symbol
_atom_site_fract_x
_atom_site_fract_y
_atom_site_fract_z
_atom_site_occupancy
Ag1 Ag 0.250 0.250 0.000 1
Sb1 Sb 0.000 0.000 0.500 1
Rh1 Rh 0.000 0.500 0.500 1
# - Energy: -4.223 eV per atom
# - Crystal system: monoclinic

---

No. 3
# Ag2SbRh | Alexandria via LeMat-Bulk | GGA-PBE | relaxed
data_Ag2SbRh
_cell_length_a 6.602
_cell_length_b 6.602
_cell_length_c 6.602
_cell_angle_alpha 90.00
_cell_angle_beta 90.00
_cell_angle_gamma 90.00
_space_group_name_H-M_alt 'F -4 3 m'
_space_group_IT_number 216
_space_group_name_Hall 'F -4 2 3'
loop_
_atom_site_label
_atom_site_type_symbol
_atom_site_fract_x
_atom_site_fract_y
_atom_site_fract_z
_atom_site_occupancy
Ag1 Ag 0.000 0.000 0.000 1
Ag2 Ag 0.250 0.250 0.250 1
Sb1 Sb 0.000 0.000 0.500 1
Rh1 Rh 0.250 0.250 0.750 1
# - Energy: -4.264 eV per atom
# - Crystal system: cubic

---

No. 4
# Ag2SbRh | Alexandria via LeMat-Bulk | GGA-PBE | relaxed
data_Ag2SbRh
_cell_length_a 3.320
_cell_length_b 3.635
_cell_length_c 6.094
_cell_angle_alpha 90.00
_cell_angle_beta 90.00
_cell_angle_gamma 90.00
_space_group_name_H-M_alt 'P m m 2'
_space_group_IT_number 25
loop_
_space_group_symop_operation_xyz
'x,y,z'
'-x,-y,z'
'-x,y,z'
'x,-y,z'
loop_
_atom_site_label
_atom_site_type_symbol
_atom_site_fract_x
_atom_site_fract_y
_atom_site_fract_z
_atom_site_occupancy
Ag1 Ag 0.000 0.000 0.000 1
Ag2 Ag 0.500 0.500 0.225 1
Sb1 Sb 0.500 0.500 0.694 1
Rh1 Rh 0.000 0.000 0.500 1
# - Energy: -4.336 eV per atom
# - Crystal system: orthorhombic

---

Size of the total moment values, unit μB/cell, following the record order: 0.0; 0.0; 0.0; 0.0.
Ρ values, unit kg/m³, following the record order: 9350; 9854; 10165; 9943.